The following is a PBE with a Hubbard U calculation of VFeAgF6 after structural relaxation, from the Alexandria database.

Geometry as extended XYZ:
```
18
Lattice="5.498 0.000 0.000 -2.749 4.762 0.000 0.000 0.000 10.252" Properties=species:S:1:pos:R:3 pbc="T T T"
V 0.000 3.175 2.563
V 2.749 1.587 7.689
Fe 0.000 3.175 7.689
Fe 2.749 1.587 2.563
Ag 0.000 0.000 0.000
Ag 0.000 0.000 5.126
F -0.914 1.801 6.616
F -1.647 3.069 8.762
F 0.914 1.801 8.762
F -0.732 4.653 6.616
F 2.017 0.109 1.490
F 1.102 1.692 3.636
F 1.647 3.069 6.616
F 0.732 4.653 8.762
F 3.482 0.109 3.636
F 1.835 2.961 1.490
F 4.396 1.692 1.490
F 3.664 2.961 3.636
```

## Properties
M_tot = 16.093 μB/cell
calculated total energy = -5.219 eV per atom